No. 1
# AlTlC2 (PBE-GGA, relaxed)
data_AlTlC2
_chemical_formula_sum 'Al4 Tl4 C8'
_space_group_name_H-M_alt 'F m -3 m'
_space_group_IT_number 225
_space_group_name_Hall '-F 4 2 3'
_cell_length_a 5.9716
_cell_length_b 5.9716
_cell_length_c 5.9716
_cell_angle_alpha 90.00
_cell_angle_beta 90.00
_cell_angle_gamma 90.00
loop_
_atom_site_label
_atom_site_type_symbol
_atom_site_fract_x
_atom_site_fract_y
_atom_site_fract_z
Al1 Al 0.0000 0.0000 0.0000
Tl1 Tl 0.0000 0.0000 0.5000
C1 C 0.2500 0.2500 0.2500
# Formation enthalpy at 0 K: 2225 meV/atom



No. 2
# Tm3AlC3 (PBE-GGA, relaxed)
data_Tm3AlC3
_chemical_formula_sum 'Tm12 Al4 C12'
_space_group_name_H-M_alt 'C m c m'
_space_group_IT_number 63
_space_group_name_Hall '-C 2c 2'
_cell_length_a 8.7910
_cell_length_b 10.3090
_cell_length_c 5.0053
_cell_angle_alpha 90.00
_cell_angle_beta 90.00
_cell_angle_gamma 90.00
loop_
_atom_site_label
_atom_site_type_symbol
_atom_site_fract_x
_atom_site_fract_y
_atom_site_fract_z
Tm1 Tm 0.0000 0.1075 0.2500
Tm2 Tm 0.2336 0.3779 0.2500
Al1 Al 0.0000 0.3141 0.7500
C1 C 0.0000 0.1159 0.7500
C2 C 0.2171 0.3753 0.7500
# Formation enthalpy at 0 K: -294 meV/atom



No. 3
# Tm2Al2C3 (PBE-GGA, relaxed)
data_Tm2Al2C3
_chemical_formula_sum 'Tm4 Al4 C6'
_space_group_name_H-M_alt 'C 1 2/m 1'
_space_group_IT_number 12
_cell_length_a 10.8537
_cell_length_b 3.4501
_cell_length_c 5.6125
_cell_angle_alpha 90.00
_cell_angle_beta 109.04
_cell_angle_gamma 90.00
loop_
_space_group_symop_operation_xyz
'x,y,z'
'-x,-y,-z'
'-x,y,-z'
'x,-y,z'
'x+1/2,y+1/2,z'
'-x+1/2,-y+1/2,-z'
'-x+1/2,y+1/2,-z'
'x+1/2,-y+1/2,z'
loop_
_atom_site_label
_atom_site_type_symbol
_atom_site_fract_x
_atom_site_fract_y
_atom_site_fract_z
Tm1 Tm 0.1180 0.0000 0.2927
Al1 Al 0.1512 0.5000 0.8788
C1 C 0.0000 0.5000 0.0000
C2 C 0.2014 0.0000 0.7417
# Formation enthalpy at 0 K: -279 meV/atom



No. 4
# Tm2AlC (PBE-GGA, relaxed)
data_Tm2AlC
_chemical_formula_sum 'Tm6 Al3 C3'
_space_group_name_H-M_alt 'R -3 m'
_space_group_IT_number 166
_space_group_name_Hall '-R 3 2"'
_cell_length_a 3.4688
_cell_length_b 3.4688
_cell_length_c 26.4046
_cell_angle_alpha 90.00
_cell_angle_beta 90.00
_cell_angle_gamma 120.00
loop_
_atom_site_label
_atom_site_type_symbol
_atom_site_fract_x
_atom_site_fract_y
_atom_site_fract_z
Tm1 Tm 0.0000 0.0000 0.1172
Al1 Al 0.0000 0.0000 0.0000
C1 C 0.0000 0.0000 0.5000
# Formation enthalpy at 0 K: -37 meV/atom



No. 5
# TmAl3C3 (PBE-GGA, relaxed)
data_TmAl3C3
_chemical_formula_sum 'Tm2 Al6 C6'
_space_group_name_H-M_alt 'P 63/m m c'
_space_group_IT_number 194
_space_group_name_Hall '-P 6c 2c'
_cell_length_a 3.4151
_cell_length_b 3.4151
_cell_length_c 17.2036
_cell_angle_alpha 90.00
_cell_angle_beta 90.00
_cell_angle_gamma 120.00
loop_
_atom_site_label
_atom_site_type_symbol
_atom_site_fract_x
_atom_site_fract_y
_atom_site_fract_z
Tm1 Tm 0.0000 0.0000 0.0000
Al1 Al 0.3333 0.6667 0.1325
Al2 Al 0.3333 0.6667 0.7500
C1 C 0.3333 0.6667 0.2500
C2 C 0.3333 0.6667 0.5912
# Formation enthalpy at 0 K: -328 meV/atom



No. 6
# Y2TmAlC (PBE-GGA, relaxed)
data_Y2TmAlC
_chemical_formula_sum 'Y2 Tm1 Al1 C1'
_space_group_name_H-M_alt 'P 4/m m m'
_space_group_IT_number 123
_space_group_name_Hall '-P 4 2'
_cell_length_a 4.8932
_cell_length_b 4.8932
_cell_length_c 4.8048
_cell_angle_alpha 90.00
_cell_angle_beta 90.00
_cell_angle_gamma 90.00
loop_
_atom_site_label
_atom_site_type_symbol
_atom_site_fract_x
_atom_site_fract_y
_atom_site_fract_z
Y1 Y 0.0000 0.5000 0.0000
Tm1 Tm 0.0000 0.0000 0.5000
Al1 Al 0.5000 0.5000 0.5000
C1 C 0.0000 0.0000 0.0000
# Formation enthalpy at 0 K: -431 meV/atom



No. 7
# UAlC2 (PBE-GGA, relaxed)
data_UAlC2
_chemical_formula_sum 'U3 Al3 C6'
_space_group_name_H-M_alt 'R -3 m'
_space_group_IT_number 166
_space_group_name_Hall '-R 3 2"'
_cell_length_a 3.6820
_cell_length_b 3.6820
_cell_length_c 16.8841
_cell_angle_alpha 90.00
_cell_angle_beta 90.00
_cell_angle_gamma 120.00
loop_
_atom_site_label
_atom_site_type_symbol
_atom_site_fract_x
_atom_site_fract_y
_atom_site_fract_z
U1 U 0.0000 0.0000 0.0000
Al1 Al 0.0000 0.0000 0.5000
C1 C 0.0000 0.0000 0.3872
# Formation enthalpy at 0 K: 336 meV/atom



No. 8
# UAl3C3 (PBE-GGA, relaxed)
data_UAl3C3
_chemical_formula_sum 'U2 Al6 C6'
_space_group_name_H-M_alt 'P 63/m m c'
_space_group_IT_number 194
_space_group_name_Hall '-P 6c 2c'
_cell_length_a 3.3889
_cell_length_b 3.3889
_cell_length_c 17.4410
_cell_angle_alpha 90.00
_cell_angle_beta 90.00
_cell_angle_gamma 120.00
loop_
_atom_site_label
_atom_site_type_symbol
_atom_site_fract_x
_atom_site_fract_y
_atom_site_fract_z
U1 U 0.0000 0.0000 0.0000
Al1 Al 0.3333 0.6667 0.1338
Al2 Al 0.3333 0.6667 0.7500
C1 C 0.3333 0.6667 0.2500
C2 C 0.3333 0.6667 0.5943
# Formation enthalpy at 0 K: -182 meV/atom